[1]
TiTlSn2 | PBE | relaxed

Output
* formation energy: 298 meV/atom
* ΔE to the lowest computed polymorph: 287 meV/atom
* density: 8.11 g/cm³
* total magnetic moment: 1.66 μB per cell

Cell: 5.2156 5.2156 5.2156 Å, 60.00 60.00 60.00°
Closest atoms and distances in Å follow each position.
Atoms (fractional coordinates):
Ti: 0.0000 0.0000 0.0000  8 Sn 3.19
Tl: 0.5000 0.5000 0.5000  8 Sn 3.19
Sn: 0.2500 0.2500 0.2500  4 Tl 3.19, 4 Ti 3.19
Sn: 0.7500 0.7500 0.7500  4 Tl 3.19, 4 Ti 3.19

=====

[2]
Ti3TlSn | PBE | relaxed

Output
* formation energy: 221 meV/atom
* ΔE to the lowest computed polymorph: 0 meV/atom
* density: 7.32 g/cm³
* total magnetic moment: 1.61 μB per cell

Cell: 8.2899 3.0468 8.9183 Å, 90.00 109.96 90.00°
Closest atoms and distances in Å follow each position.
Atoms (fractional coordinates):
Ti: 0.0000 0.0000 0.0000  4 Ti 2.83-3.05, 4 Sn 2.83
Ti: 0.0000 0.0000 0.5000  4 Sn 2.84, 4 Ti 2.92-3.05, 2 Tl 3.16
Ti: 0.3547 0.0000 0.0430  3 Ti 2.67-2.83, 2 Sn 2.91, 1 Tl 2.94
Ti: 0.3622 0.0000 0.6983  2 Ti 2.67-2.92, 2 Sn 2.89, 1 Tl 2.96
Ti: 0.6378 0.0000 0.3017  2 Ti 2.67-2.92, 2 Sn 2.89, 1 Tl 2.96
Ti: 0.6453 0.0000 0.9570  3 Ti 2.67-2.83, 2 Sn 2.91, 1 Tl 2.94
Tl: 0.2945 0.0000 0.3498  5 Ti 2.94-3.24, 2 Tl 3.05
Tl: 0.7055 0.0000 0.6502  5 Ti 2.94-3.24, 2 Tl 3.05
Sn: 0.1118 0.5000 0.7859  8 Ti 2.83-2.91, 2 Sn 3.05
Sn: 0.8882 0.5000 0.2141  8 Ti 2.83-2.91, 2 Sn 3.05

=====

[3]
TiTlSn2 | PBE | relaxed

Output
* formation energy: 11 meV/atom
* ΔE to the lowest computed polymorph: 0 meV/atom
* density: 8.31 g/cm³
* total magnetic moment: 0.00 μB per cell

Cell: 10.8884 10.8884 10.8884 Å, 17.15 17.15 17.15°
Closest atoms and distances in Å follow each position.
Atoms (fractional coordinates):
Ti: 0.0000 0.0000 0.0000  6 Sn 2.94, 6 Ti 3.25
Tl: 0.5000 0.5000 0.5000  2 Sn 3.09, 6 Tl 3.25
Sn: 0.4039 0.4039 0.4039  3 Ti 2.94, 1 Tl 3.09, 6 Sn 3.25
Sn: 0.5961 0.5961 0.5961  3 Ti 2.94, 1 Tl 3.09, 6 Sn 3.25

=====

[4]
Ti3TlSn | PBE | relaxed

Output
* formation energy: 820 meV/atom
* ΔE to the lowest computed polymorph: 599 meV/atom
* density: 6.07 g/cm³
* total magnetic moment: 1.05 μB per cell

Cell: 5.0367 5.0367 5.0367 Å, 90.00 90.00 90.00°
Closest atoms and distances in Å follow each position.
Atoms (fractional coordinates):
Ti: 0.0000 0.0000 0.5000  2 Sn 2.52
Ti: 0.0000 0.5000 0.0000  2 Sn 2.52
Ti: 0.5000 0.0000 0.0000  2 Sn 2.52
Tl: 0.5000 0.5000 0.5000  12 Ti 3.56
Sn: 0.0000 0.0000 0.0000  6 Ti 2.52